(1)
The following is a PBE calculation of a relaxed TbPmSb crystal, from the Alexandria database. Values from VASP.

Computed properties:
E_form (uncorrected) ... -0.5976 eV/atom
N(E_F) ... 2.85 states/eV per cell

```
&SYSTEM
  ibrav = 0, nat = 3, ntyp = 3
/
ATOMIC_SPECIES
Tb 158.93 Tb.upf
Sb 121.76 Sb.upf
Pm 145.00 Pm.upf
CELL_PARAMETERS angstrom
-4.994 1.251 -0.028
-3.551 -3.556 1.119
-2.610 0.274 4.429
ATOMIC_POSITIONS crystal
Tb 0.000 0.000 0.000
Sb 0.250 0.250 0.250
Pm 0.500 0.500 0.500
```

(2)
The following is a PBE calculation of a relaxed TbPm4Sb2 crystal, from the Alexandria database. Values from VASP.

Computed properties:
E_form (uncorrected) ... 0.1224 eV/atom
N(E_F) ... 7.75 states/eV per cell

```
&SYSTEM
  ibrav = 0, nat = 7, ntyp = 3
/
ATOMIC_SPECIES
Pm 145.00 Pm.upf
Tb 158.93 Tb.upf
Sb 121.76 Sb.upf
CELL_PARAMETERS angstrom
-3.712 3.355 2.001
-3.070 -4.213 1.369
7.181 0.120 5.861
ATOMIC_POSITIONS crystal
Pm 0.816 0.816 0.632
Tb 0.000 0.000 0.000
Pm 0.184 0.184 0.368
Sb 0.367 0.367 0.734
Pm 0.000 0.500 0.000
Pm 0.500 0.000 0.000
Sb 0.633 0.633 0.266
```

(3)
The following is a PBE calculation of a relaxed Tb2PmSb crystal, from the Alexandria database. Values from VASP.

Computed properties:
E_form (uncorrected) ... -0.4820 eV/atom
N(E_F) ... 4.94 states/eV per cell

```
&SYSTEM
  ibrav = 0, nat = 4, ntyp = 3
/
ATOMIC_SPECIES
Tb 158.93 Tb.upf
Pm 145.00 Pm.upf
Sb 121.76 Sb.upf
CELL_PARAMETERS angstrom
4.008 0.000 0.000
0.000 4.008 0.000
0.000 0.000 7.378
ATOMIC_POSITIONS crystal
Tb 0.000 0.000 0.718
Pm 0.500 0.500 0.000
Sb 0.500 0.500 0.500
Tb 0.000 0.000 0.282
```

(4)
The following is a PBE calculation of a relaxed TbPm2Sb crystal, from the Alexandria database. Values from VASP.

Computed properties:
E_form (uncorrected) ... -0.5249 eV/atom
N(E_F) ... 3.95 states/eV per cell

```
&SYSTEM
  ibrav = 0, nat = 4, ntyp = 3
/
ATOMIC_SPECIES
Pm 145.00 Pm.upf
Sb 121.76 Sb.upf
Tb 158.93 Tb.upf
CELL_PARAMETERS angstrom
4.895 0.000 0.000
0.000 4.852 0.000
0.000 0.000 4.852
ATOMIC_POSITIONS crystal
Pm 0.000 0.000 0.500
Sb 0.500 0.000 0.000
Pm 0.000 0.500 0.000
Tb 0.500 0.500 0.500
```

(5)
The following is a PBE calculation of a relaxed Tb3Pm4Sb4 crystal, from the Alexandria database. Values from VASP.

Computed properties:
E_form (uncorrected) ... -0.7909 eV/atom
N(E_F) ... 11.97 states/eV per cell

```
&SYSTEM
  ibrav = 0, nat = 11, ntyp = 3
/
ATOMIC_SPECIES
Pm 145.00 Pm.upf
Sb 121.76 Sb.upf
Tb 158.93 Tb.upf
CELL_PARAMETERS angstrom
4.063 0.000 0.000
0.000 9.096 0.000
-2.032 -4.548 8.949
ATOMIC_POSITIONS crystal
Pm 0.669 0.843 0.337
Sb 0.500 0.212 0.000
Sb 0.273 0.773 0.546
Tb 0.000 0.500 0.000
Sb 0.500 0.788 0.000
Tb 0.904 0.904 0.808
Pm 0.669 0.494 0.337
Pm 0.331 0.506 0.663
Tb 0.096 0.096 0.192
Pm 0.331 0.157 0.663
Sb 0.727 0.227 0.454
```

(6)
The following is a PBE calculation of a relaxed TbPmSb crystal, from the Alexandria database. Values from VASP.

Computed properties:
E_form (uncorrected) ... -0.8372 eV/atom
N(E_F) ... 4.98 states/eV per cell

```
&SYSTEM
  ibrav = 0, nat = 6, ntyp = 3
/
ATOMIC_SPECIES
Tb 158.93 Tb.upf
Sb 121.76 Sb.upf
Pm 145.00 Pm.upf
CELL_PARAMETERS angstrom
4.533 0.000 -0.010
0.000 4.533 0.010
0.021 -0.021 8.680
ATOMIC_POSITIONS crystal
Tb 0.250 0.250 0.000
Sb 0.750 0.250 0.274
Pm 0.250 0.750 0.353
Pm 0.750 0.250 0.647
Tb 0.750 0.750 0.000
Sb 0.250 0.750 0.726
```

(7)
The following is a PBE calculation of a relaxed TbPm5Sb6 crystal, from the Alexandria database. Values from VASP.

Computed properties:
E_form (uncorrected) ... -1.1796 eV/atom
N(E_F) ... 1.85 states/eV per cell

```
&SYSTEM
  ibrav = 0, nat = 12, ntyp = 3
/
ATOMIC_SPECIES
Sb 121.76 Sb.upf
Pm 145.00 Pm.upf
Tb 158.93 Tb.upf
CELL_PARAMETERS angstrom
7.667 0.187 1.165
1.884 6.500 3.789
0.129 0.068 7.756
ATOMIC_POSITIONS crystal
Sb 0.752 0.082 0.330
Pm 0.000 0.666 0.667
Pm 0.000 0.334 0.333
Tb 0.000 0.000 0.000
Pm 0.500 0.500 0.000
Sb 0.248 0.587 0.330
Sb 0.752 0.413 0.670
Pm 0.500 0.832 0.336
Sb 0.751 0.753 0.000
Sb 0.248 0.918 0.670
Pm 0.500 0.168 0.664
Sb 0.249 0.247 0.000
```

(8)
The following is a PBE calculation of a relaxed TbPm8Sb6 crystal, from the Alexandria database. Values from VASP.

Computed properties:
E_form (uncorrected) ... -0.8136 eV/atom
N(E_F) ... 15.39 states/eV per cell

```
&SYSTEM
  ibrav = 0, nat = 15, ntyp = 3
/
ATOMIC_SPECIES
Sb 121.76 Sb.upf
Pm 145.00 Pm.upf
Tb 158.93 Tb.upf
CELL_PARAMETERS angstrom
-7.831 2.238 0.186
-4.973 -3.048 5.687
-2.285 6.235 7.179
ATOMIC_POSITIONS crystal
Sb 0.933 0.263 0.199
Pm 0.880 0.541 0.364
Sb 0.067 0.737 0.801
Sb 0.395 0.067 0.801
Pm 0.459 0.785 0.636
Pm 0.215 0.880 0.364
Pm 0.667 0.667 0.000
Sb 0.737 0.395 0.801
Sb 0.605 0.933 0.199
Pm 0.785 0.120 0.636
Pm 0.120 0.459 0.636
Sb 0.263 0.605 0.199
Tb 0.000 0.000 0.000
Pm 0.333 0.333 0.000
Pm 0.541 0.215 0.364
```

(9)
The following is a PBE calculation of a relaxed TbPm3Sb4 crystal, from the Alexandria database. Values from VASP.

Computed properties:
E_form (uncorrected) ... -1.1794 eV/atom
N(E_F) ... 0.49 states/eV per cell

```
&SYSTEM
  ibrav = 0, nat = 8, ntyp = 3
/
ATOMIC_SPECIES
Sb 121.76 Sb.upf
Tb 158.93 Tb.upf
Pm 145.00 Pm.upf
CELL_PARAMETERS angstrom
6.319 0.000 0.000
0.000 6.319 0.000
0.000 0.000 6.319
ATOMIC_POSITIONS crystal
Sb 0.000 0.500 0.000
Sb 0.500 0.500 0.500
Sb 0.000 0.000 0.500
Tb 0.000 0.000 0.000
Pm 0.000 0.500 0.500
Sb 0.500 0.000 0.000
Pm 0.500 0.500 0.000
Pm 0.500 0.000 0.500
```

(10)
The following is a PBE calculation of a relaxed Tb2Pm2Sb5 crystal, from the Alexandria database. Values from VASP.

Computed properties:
E_form (uncorrected) ... -0.8931 eV/atom
N(E_F) ... 13.15 states/eV per cell

```
&SYSTEM
  ibrav = 0, nat = 18, ntyp = 3
/
ATOMIC_SPECIES
Pm 145.00 Pm.upf
Tb 158.93 Tb.upf
Sb 121.76 Sb.upf
CELL_PARAMETERS angstrom
-6.135 -3.523 4.287
6.000 -4.721 4.708
-3.206 8.115 2.080
ATOMIC_POSITIONS crystal
Pm 0.500 0.309 0.691
Tb 0.338 0.158 0.158
Sb 0.000 0.000 0.000
Sb 0.357 0.995 0.720
Tb 0.662 0.842 0.842
Pm 0.000 0.191 0.809
Tb 0.162 0.658 0.658
Sb 0.500 0.500 0.500
Tb 0.838 0.342 0.342
Sb 0.143 0.220 0.495
Sb 0.143 0.495 0.220
Sb 0.857 0.780 0.505
Sb 0.643 0.005 0.280
Pm 0.000 0.809 0.191
Sb 0.643 0.280 0.005
Sb 0.357 0.720 0.995
Pm 0.500 0.691 0.309
Sb 0.857 0.505 0.780
```

(11)
The following is a PBE calculation of a relaxed TbPmSb crystal, from the Alexandria database. Values from VASP.

Computed properties:
E_form (uncorrected) ... -0.4524 eV/atom
N(E_F) ... 2.84 states/eV per cell

```
&SYSTEM
  ibrav = 0, nat = 3, ntyp = 3
/
ATOMIC_SPECIES
Sb 121.76 Sb.upf
Tb 158.93 Tb.upf
Pm 145.00 Pm.upf
CELL_PARAMETERS angstrom
4.124 0.000 0.000
0.000 5.099 0.000
0.000 -2.550 4.416
ATOMIC_POSITIONS crystal
Sb 0.384 0.667 0.333
Tb 0.570 0.333 0.667
Pm 0.046 0.000 0.000
```

(12)
The following is a PBE calculation of a relaxed TbPmSb crystal, from the Alexandria database. Values from VASP.

Computed properties:
E_form (uncorrected) ... -0.5388 eV/atom
N(E_F) ... 6.59 states/eV per cell

```
&SYSTEM
  ibrav = 0, nat = 6, ntyp = 3
/
ATOMIC_SPECIES
Sb 121.76 Sb.upf
Pm 145.00 Pm.upf
Tb 158.93 Tb.upf
CELL_PARAMETERS angstrom
-7.358 -8.906 -1.739
7.997 6.810 5.114
-2.911 2.049 1.823
ATOMIC_POSITIONS crystal
Sb 0.862 0.138 0.250
Pm 0.294 0.706 0.750
Tb 0.565 0.435 0.250
Tb 0.435 0.565 0.750
Pm 0.706 0.294 0.250
Sb 0.138 0.862 0.750
```